1.
4
Lattice="4.9202 0.0000 0.0000 0.0000 4.9202 0.0000 0.0000 0.0000 3.0228" Properties=species:S:1:pos:R:3 comment="Sc2AgW SCAN single point on PBEsol structure" final_energy_ev_per_cell=-129.0 ef_ev_per_atom=0.132 de_polymorph_ev_per_atom=0.000 density_g_cm3=8.660 pbc="T T T"
Sc 0.0000 2.4601 0.0000
Sc 2.4601 0.0000 0.0000
Ag 0.0000 0.0000 1.5114
W 2.4601 2.4601 1.5114



2.
4
Lattice="2.8666 0.0000 0.0000 0.0000 2.8666 0.0000 0.0000 0.0000 8.3512" Properties=species:S:1:pos:R:3 comment="FeTeP2 SCAN single point on PBEsol structure" e_form_raw_ev_per_atom=0.167 final_energy_ev_per_cell=-75.5 density_g_cm3=5.938 pbc="T T T"
Fe 0.0000 0.0000 0.0000
Te 0.0000 0.0000 4.1756
P 1.4333 1.4333 1.2546
P 1.4333 1.4333 7.0966



3.
4
Lattice="-1.4228 2.3259 4.9425 1.4228 -2.3259 4.9425 1.4228 2.3259 -4.9425" Properties=species:S:1:pos:R:3 comment="MoPt2Br SCAN single point on PBEsol structure" e_form_raw_ev_per_atom=0.476 final_energy_ev_per_cell=-192.8 density_g_cm3=14.366 pbc="T T T"
Mo 0.0000 0.0000 0.0000
Pt 1.4228 0.0000 2.3145
Pt 0.0000 2.3259 2.6280
Br 0.0000 0.0000 4.9425



4.
5
Lattice="4.9909 0.0000 0.0000 0.0000 4.9909 0.0000 0.0000 0.0000 3.3540" Properties=species:S:1:pos:R:3 comment="AlCdP2O SCAN single point on PBEsol structure" e_form_raw_ev_per_atom=-0.304 final_energy_ev_per_cell=-66.7 density_g_cm3=4.320 pbc="T T T"
Al 0.0000 0.0000 0.0000
Cd 2.4955 2.4955 1.6770
P 0.0000 2.4955 0.0000
P 2.4955 0.0000 0.0000
O 0.0000 0.0000 1.6770



5.
5
Lattice="5.5466 0.0000 0.0000 0.0000 5.5466 0.0000 0.0000 0.0000 3.4379" Properties=species:S:1:pos:R:3 comment="GeTe2AuN SCAN single point on PBEsol structure" e_form_raw_ev_per_atom=0.761 final_energy_ev_per_cell=-168.2 density_g_cm3=8.459 pbc="T T T"
Ge 0.0000 0.0000 0.0000
Te 0.0000 2.7733 0.0000
Te 2.7733 0.0000 0.0000
Au 2.7733 2.7733 1.7190
N 0.0000 0.0000 1.7190



6.
76
Lattice="10.0158 0.0000 0.0000 0.0000 10.0158 0.0000 0.0000 0.0000 10.0158" Properties=species:S:1:pos:R:3 comment="Rb2Mg2S3O12 SCAN single point on PBEsol structure" e_form_raw_ev_per_atom=-2.222 final_energy_ev_per_cell=-789.2 density_g_cm3=3.356 pbc="T T T"
Rb 0.4585 0.4585 0.4585
Rb 1.8304 3.1775 6.8383
Rb 3.1775 6.8383 1.8304
Rb 4.5494 9.5573 5.4664
Rb 5.4664 4.5494 9.5573
Rb 6.8383 1.8304 3.1775
Rb 8.1854 8.1854 8.1854
Rb 9.5573 5.4664 4.5494
Mg 1.0029 9.0129 4.0050
Mg 1.6459 6.6538 8.3699
Mg 3.3620 3.3620 3.3620
Mg 4.0050 1.0029 9.0129
Mg 6.0108 6.0108 6.0108
Mg 6.6538 8.3699 1.6459
Mg 8.3699 1.6459 6.6538
Mg 9.0129 4.0050 1.0029
S 0.1942 2.1412 3.7622
S 1.2457 9.8216 7.1491
S 2.1412 3.7622 0.1942
S 2.8667 6.2536 5.2021
S 3.7622 0.1942 2.1412
S 4.8137 7.8746 8.7701
S 5.2021 2.8667 6.2536
S 6.2536 5.2021 2.8667
S 7.1491 1.2457 9.8216
S 7.8746 8.7701 4.8137
S 8.7701 4.8137 7.8746
S 9.8216 7.1491 1.2457
O 0.0138 5.5727 7.6628
O 0.0877 0.7280 3.3256
O 0.4156 8.0132 2.2804
O 0.5647 7.3610 10.0020
O 0.7280 3.3256 0.0877
O 1.0091 8.4157 7.5209
O 1.6002 2.5130 3.9988
O 1.6823 9.9281 5.7359
O 2.0026 7.2884 4.5923
O 2.2804 0.4156 8.0132
O 2.3530 5.0217 9.4511
O 2.4950 6.0171 6.6081
O 2.5130 3.9988 1.6002
O 2.6549 4.9941 4.4432
O 2.7275 9.6003 3.0053
O 3.0053 2.7275 9.6003
O 3.3256 0.0877 0.7280
O 3.4077 7.5029 9.0067
O 3.9988 1.6002 2.5130
O 4.2799 6.6903 5.0957
O 4.4432 2.6549 4.9941
O 4.5923 2.0026 7.2884
O 4.9202 9.2878 8.3335
O 4.9941 4.4432 2.6549
O 5.0217 9.4511 2.3530
O 5.0957 4.2799 6.6903
O 5.4235 7.0105 7.7354
O 5.5727 7.6628 0.0138
O 5.7359 1.6823 9.9281
O 6.0171 6.6081 2.4950
O 6.6081 2.4950 6.0171
O 6.6903 5.0957 4.2799
O 7.0105 7.7354 5.4235
O 7.2884 4.5923 2.0026
O 7.3610 10.0020 0.5647
O 7.5029 9.0067 3.4077
O 7.5209 1.0091 8.4157
O 7.6628 0.0138 5.5727
O 7.7354 5.4235 7.0105
O 8.0132 2.2804 0.4156
O 8.3335 4.9202 9.2878
O 8.4157 7.5209 1.0091
O 9.0067 3.4077 7.5029
O 9.2878 8.3335 4.9202
O 9.4511 2.3530 5.0217
O 9.6003 3.0053 2.7275
O 9.9281 5.7359 1.6823
O 10.0020 0.5647 7.3610



7.
3
Lattice="4.3707 0.0000 0.0000 -2.1853 3.7851 0.0000 0.0000 0.0000 2.7843" Properties=species:S:1:pos:R:3 comment="CdNiAg SCAN single point on PBEsol structure" final_energy_ev_per_cell=-77.4 ef_ev_per_atom=0.199 de_polymorph_ev_per_atom=0.000 density_g_cm3=10.057 pbc="T T T"
Cd 0.0000 0.0000 0.0000
Ni 2.1853 1.2617 1.9203
Ag 0.0000 2.5234 1.1310



8.
5
Lattice="4.7325 0.0000 0.0000 0.0000 4.7325 0.0000 0.0000 0.0000 5.2532" Properties=species:S:1:pos:R:3 comment="NbCdRe2S SCAN single point on PBEsol structure" e_form_raw_ev_per_atom=2.309 final_energy_ev_per_cell=-203.8 density_g_cm3=8.607 pbc="T T T"
Nb 0.0000 0.0000 0.0000
Cd 0.0000 0.0000 2.6266
Re 0.0000 2.3662 0.0000
Re 2.3662 0.0000 0.0000
S 2.3662 2.3662 2.6266